# 1
{"formula": "Sr2ScGaTe5", "functional": "PBE", "state": "relaxed", "cell": [[-1.8579, 3.9105, 0.1263], [-7.5271, -5.8595, -3.5695], [-4.1952, -2.4065, 12.7970]], "species": ["Sr", "Sr", "Sr", "Sr", "Sc", "Sc", "Ga", "Ga", "Te", "Te", "Te", "Te", "Te", "Te", "Te", "Te", "Te", "Te"], "frac_coords": [[0.8730, 0.7460, 0.8187], [0.1209, 0.2418, 0.6834], [0.1270, 0.2540, 0.3187], [0.8791, 0.7582, 0.1834], [0.7923, 0.5846, 0.5245], [0.2077, 0.4154, 0.0245], [0.5629, 0.1258, 0.9351], [0.4371, 0.8742, 0.4351], [0.3516, 0.7031, 0.0034], [0.6913, 0.3825, 0.8711], [0.4996, 0.9993, 0.7689], [0.2913, 0.5826, 0.6680], [0.9484, 0.8968, 0.5508], [0.6484, 0.2969, 0.5034], [0.3087, 0.6175, 0.3711], [0.5004, 0.0007, 0.2689], [0.7087, 0.4174, 0.1680], [0.0516, 0.1032, 0.0508]], "e_form_raw_ev_per_atom": -1.192, "space_group": "Cmc2_1"}

---

# 2
{"formula": "Cs2SnOsBr6", "functional": "PBE", "state": "relaxed", "cell": [[-4.3571, -6.4787, -0.1693], [3.4720, -2.1611, -6.6529], [3.4235, -6.9954, -0.5244]], "species": ["Cs", "Cs", "Os", "Sn", "Br", "Br", "Br", "Br", "Br", "Br"], "frac_coords": [[0.7500, 0.2500, 0.5000], [0.2500, 0.7500, 0.5000], [0.0000, 0.0000, 0.0000], [0.5000, 0.5000, 0.0000], [0.2326, 0.2326, 0.5347], [0.7674, 0.7674, 0.4653], [0.2325, 0.2325, 0.0000], [0.7675, 0.7675, 0.0000], [0.7675, 0.2325, 0.0000], [0.2325, 0.7675, 0.0000]], "e_form_raw_ev_per_atom": -0.782, "space_group": "I4/mmm"}

---

# 3
{"formula": "Cs2Tl13", "functional": "PBE", "state": "relaxed", "cell": [[8.9647, 0.0000, 0.0000], [4.4824, 7.7637, 0.0000], [4.4824, 2.5879, 10.5060]], "species": ["Cs", "Cs", "Tl", "Tl", "Tl", "Tl", "Tl", "Tl", "Tl", "Tl", "Tl", "Tl", "Tl", "Tl", "Tl"], "frac_coords": [[0.3073, 0.3073, 0.0780], [0.6927, 0.6927, 0.9220], [0.5000, 0.5000, 0.5000], [0.4522, 0.8307, 0.2648], [0.4522, 0.4522, 0.2648], [0.8307, 0.4522, 0.2648], [0.1693, 0.5478, 0.7352], [0.5478, 0.1693, 0.7352], [0.5478, 0.5478, 0.7352], [0.2643, 0.9029, 0.5685], [0.2643, 0.2643, 0.5685], [0.9029, 0.2643, 0.5685], [0.0971, 0.7357, 0.4315], [0.7357, 0.0971, 0.4315], [0.7357, 0.7357, 0.4315]], "space_group": "R-3m", "ef_mev_per_atom": 107}